Entry from Alexandria via LeMat-Bulk: a relaxed Be2Ga2Si crystal (GGA-PBE).

Cell: 3.5854 3.5854 11.0406 Å, 90.00 90.00 90.00°
With the nearest neighbours (Å) after each atom.
Space group I4/mmm (No. 139)
Unique sites:
Be1 0.0000 0.5000 0.2500 x4  4 Ga 2.35, 4 Be 2.54
Ga1 0.0000 0.0000 0.1123 x4  4 Be 2.35, 1 Ga 2.48
Si1 0.0000 0.0000 0.5000 x2  8 Ga 2.82

Summary:
Energy relative to the lowest polymorph listed for this composition, meV/atom: 38
Formation energy from raw total energies, eV per atom: 0.440
M_tot, μB per atom: 0.00
D(E_F), states/eV per atom: 0.307
ρ, g/cm3: 4.3